# 1
BaBeAu2: relaxed, PBE.

Its total magnetization is 0.00 μB per atom. For the density, the calculation gives 10.4 g cm⁻³. The formation energy is -0.083 eV per atom.

It has space group P4/mmm (No. 123), with a = 3.371 Å, b = 3.371 Å, c = 7.557 Å, α = 90.00°, β = 90.00° and γ = 90.00°. The distinct sites, in fractional coordinates, are Ba at (0.000, 0.000, 0.000), Be at (0.000, 0.000, 0.500) and Au at (0.500, 0.500, 0.322).

=====

# 2
BaBeAu2: relaxed, PBE.

Its total magnetization is 0.00 μB per atom. For the density, the calculation gives 9.3 g cm⁻³. The formation energy is 0.138 eV per atom.

It has space group F-43m (No. 216), with a = 7.279 Å, b = 7.279 Å, c = 7.279 Å, α = 90.00°, β = 90.00° and γ = 90.00°. The distinct sites, in fractional coordinates, are Ba at (0.000, 0.000, 0.000), Be at (0.250, 0.250, 0.750), Au at (0.000, 0.000, 0.500) and Au at (0.250, 0.250, 0.250).

=====

# 3
BaBe2Au: relaxed, PBE.

Its total magnetization is 0.00 μB per atom. The energy above the most stable polymorph in this dataset is 1.87 eV per formula unit. For the density, the calculation gives 7.6 g cm⁻³. The formation energy is 0.290 eV per atom.

It has space group P4mm (No. 99), with a = 3.217 Å, b = 3.217 Å, c = 7.462 Å, α = 90.00°, β = 90.00° and γ = 90.00°. The distinct sites, in fractional coordinates, are Ba at (0.000, 0.000, 0.000), Be at (0.000, 0.000, 0.491), Be at (0.500, 0.500, 0.330) and Au at (0.500, 0.500, 0.640).

=====

# 4
Ba2BeAu: relaxed, PBE.

Its total magnetization is 0.00 μB per atom. For the density, the calculation gives 5.2 g cm⁻³. The formation energy is 0.070 eV per atom.

It has space group P4mm (No. 99), with a = 4.763 Å, b = 4.763 Å, c = 6.760 Å, α = 90.00°, β = 90.00° and γ = 90.00°. The distinct sites, in fractional coordinates, are Ba at (0.000, 0.000, 0.000), Ba at (0.500, 0.500, 0.498), Be at (0.000, 0.000, 0.501) and Au at (0.500, 0.500, 0.998).

=====

# 5
Ba2BeAu: relaxed, PBE.

Its total magnetization is 0.00 μB per atom. For the density, the calculation gives 6.6 g cm⁻³. The formation energy is -0.115 eV per atom.

It has space group Imm2 (No. 44), with a = 3.962 Å, b = 5.561 Å, c = 11.060 Å, α = 90.00°, β = 90.00° and γ = 90.00°. The distinct sites, in fractional coordinates, are Ba at (0.000, 0.000, 0.000), Ba at (0.000, 0.500, 0.192), Be at (0.000, 0.500, 0.796) and Au at (0.000, 0.000, 0.399).

=====

# 6
Ba2BeAu: relaxed, PBE.

Its total magnetization is 0.00 μB per atom. For the density, the calculation gives 5.2 g cm⁻³. The formation energy is 0.246 eV per atom.

It has space group I-42d (No. 122), with a = 8.645 Å, b = 8.645 Å, c = 8.271 Å, α = 90.00°, β = 90.00° and γ = 90.00°. The distinct sites, in fractional coordinates, are Ba at (0.248, 0.250, 0.125), Be at (0.000, 0.000, 0.000) and Au at (0.000, 0.000, 0.500).

=====

# 7
Ba3BeAu: relaxed, PBE.

Its total magnetization is 0.00 μB per atom. The energy above the most stable polymorph in this dataset is 0.00 eV per formula unit. For the density, the calculation gives 4.1 g cm⁻³. The formation energy is 0.261 eV per atom.

It has space group Pm-3m (No. 221), with a = 6.319 Å, b = 6.319 Å, c = 6.319 Å, α = 90.00°, β = 90.00° and γ = 90.00°. The distinct sites, in fractional coordinates, are Ba at (0.000, 0.000, 0.500), Be at (0.500, 0.500, 0.500) and Au at (0.000, 0.000, 0.000).

=====

# 8
Ba2BeAu: relaxed, PBE.

Its total magnetization is 0.00 μB per atom. For the density, the calculation gives 7.1 g cm⁻³. The formation energy is 0.179 eV per atom.

It has space group F-43m (No. 216), with a = 7.647 Å, b = 7.647 Å, c = 7.647 Å, α = 90.00°, β = 90.00° and γ = 90.00°. The distinct sites, in fractional coordinates, are Ba at (0.000, 0.000, 0.000), Ba at (0.250, 0.250, 0.250), Be at (0.000, 0.000, 0.500) and Au at (0.250, 0.250, 0.750).

=====

# 9
Ba2BeAu: relaxed, PBE.

Its total magnetization is 0.00 μB per atom. For the density, the calculation gives 6.3 g cm⁻³. The formation energy is 0.070 eV per atom.

It has space group P4mm (No. 99), with a = 3.671 Å, b = 3.671 Å, c = 9.406 Å, α = 90.00°, β = 90.00° and γ = 90.00°. The distinct sites, in fractional coordinates, are Ba at (0.000, 0.000, 0.000), Ba at (0.500, 0.500, 0.420), Be at (0.000, 0.000, 0.667) and Au at (0.500, 0.500, 0.757).

=====

# 10
BaBeAu2: relaxed, PBE.

Its total magnetization is 0.00 μB per atom. For the density, the calculation gives 9.2 g cm⁻³. The formation energy is -0.324 eV per atom.

It has space group R3m (No. 160, hexagonal axes), with a = 4.3293 Å, b = 4.3293 Å, c = 18.0414 Å, α = 90.00°, β = 90.00° and γ = 120.00°. The distinct sites, in fractional coordinates, are Ba at (0.0000, 0.0000, 0.0000), Be at (0.0000, 0.0000, 0.1866), Au at (0.0000, 0.0000, 0.5383) and Au at (0.0000, 0.0000, 0.8027).

=====

# 11
Ba2BeAu: relaxed, PBE.

Its total magnetization is 0.00 μB per atom. For the density, the calculation gives 6.2 g cm⁻³. The formation energy is 0.168 eV per atom.

It has space group I-4m2 (No. 119), with a = 4.716 Å, b = 4.716 Å, c = 11.649 Å, α = 90.00°, β = 90.00° and γ = 90.00°. The distinct sites, in fractional coordinates, are Ba at (0.000, 0.000, 0.000), Ba at (0.000, 0.500, 0.250), Be at (0.000, 0.500, 0.750) and Au at (0.000, 0.000, 0.500).

=====

# 12
BaBe2Au: relaxed, PBE.

Its total magnetization is 0.00 μB per atom. The energy above the most stable polymorph in this dataset is 3.75 eV per formula unit. For the density, the calculation gives 6.1 g cm⁻³. The formation energy is 0.759 eV per atom.

It has space group P4/mmm (No. 123), with a = 4.464 Å, b = 4.464 Å, c = 4.790 Å, α = 90.00°, β = 90.00° and γ = 90.00°. The distinct sites, in fractional coordinates, are Ba at (0.000, 0.000, 0.000), Be at (0.000, 0.500, 0.500) and Au at (0.500, 0.500, 0.000).

=====

# 13
BaBe2Au: relaxed, PBE.

Its total magnetization is 0.00 μB per atom. The energy above the most stable polymorph in this dataset is 0.72 eV per formula unit. For the density, the calculation gives 6.1 g cm⁻³. The formation energy is 0.002 eV per atom.

It has space group I4_1/amd (No. 141, origin choice 2), with a = 5.153 Å, b = 5.153 Å, c = 14.520 Å, α = 90.00°, β = 90.00° and γ = 90.00°. The distinct sites, in fractional coordinates, are Ba at (0.000, 0.250, 0.375), Be at (0.000, 0.000, 0.000) and Au at (0.000, 0.250, 0.875).

=====

# 14
Ba2BeAu5: relaxed, PBE.

Its total magnetization is 0.00 μB per atom. For the density, the calculation gives 9.9 g cm⁻³. The formation energy is -0.497 eV per atom.

It has space group I4mm (No. 107), with a = 6.545 Å, b = 6.545 Å, c = 9.884 Å, α = 90.00°, β = 90.00° and γ = 90.00°. The distinct sites, in fractional coordinates, are Ba at (0.000, 0.500, 0.000), Be at (0.000, 0.000, 0.165), Au at (0.000, 0.000, 0.919) and Au at (0.244, 0.244, 0.247).